A geometry-optimized LaSmNi3 structure, computed with PBE.

Calculated values
calculated total energy: -5.73 eV per atom
total magnetic moment: 0.00 μB per cell
E_form: -334.7 meV per atom

a = 3.9085 Å, b = 25.3225 Å, c = 4.0691 Å
α = 90.00°, β = 90.00°, γ = 90.00°
With the nearest neighbours (Å) after each atom.
Space group Cmcm (No. 63)
Symmetry-distinct sites (fractional):
1 La 0.0000 0.1975 0.2500 [4 per cell]  6 Ni 2.87-2.92
2 Sm 0.0000 0.0674 0.7500 [4 per cell]  12 Ni 3.01-3.20
3 Ni 0.0000 0.3325 0.2500 [4 per cell]  2 Ni 2.44
4 Ni 0.0000 0.3856 0.7500 [4 per cell]  3 Ni 2.32-2.44
5 Ni 0.0000 0.4772 0.7500 [4 per cell]  3 Ni 2.32-2.34

=====

A geometry-optimized HoCdGaPd structure, computed with PBE.

Calculated values
calculated total energy: -3.99 eV per atom
total magnetic moment: 0.00 μB per cell
E_form: -564.6 meV per atom

a = 6.8098 Å, b = 6.8098 Å, c = 6.8098 Å
α = 90.00°, β = 90.00°, γ = 90.00°
With the nearest neighbours (Å) after each atom.
Space group F-43m (No. 216)
Symmetry-distinct sites (fractional):
1 Ho 0.0000 0.0000 0.0000 [4 per cell]  4 Pd 2.95, 4 Ga 2.95
2 Cd 0.0000 0.0000 0.5000 [4 per cell]  4 Pd 2.95, 4 Ga 2.95
3 Ga 0.2500 0.2500 0.7500 [4 per cell]  4 Cd 2.95, 4 Ho 2.95
4 Pd 0.2500 0.2500 0.2500 [4 per cell]  4 Cd 2.95, 4 Ho 2.95

=====

A geometry-optimized Be2Co structure, computed with PBE.

Calculated values
calculated total energy: -5.02 eV per atom
total magnetic moment: 0.68 μB per cell
E_form: -172.0 meV per atom

a = 8.2178 Å, b = 2.4756 Å, c = 5.3560 Å
α = 90.00°, β = 108.13°, γ = 90.00°
With the nearest neighbours (Å) after each atom.
Space group C2/m (No. 12)
Symmetry-distinct sites (fractional):
1 Be 0.0248 0.0000 0.2847 [4 per cell]  5 Co 2.24-2.33, 7 Be 2.26-2.48
2 Be 0.1512 0.5000 0.0448 [4 per cell]  7 Be 2.21-2.38, 3 Co 2.23-2.30
3 Co 0.1791 0.5000 0.6303 [4 per cell]  8 Be 2.23-2.33, 4 Co 2.42-2.48

=====

A geometry-optimized Li12Zn3Cd structure, computed with PBE.

Calculated values
calculated total energy: -1.84 eV per atom
total magnetic moment: 0.00 μB per cell
E_form: -107.6 meV per atom

a = 4.1683 Å, b = 4.1683 Å, c = 15.7422 Å
α = 90.00°, β = 90.00°, γ = 90.00°
With the nearest neighbours (Å) after each atom.
Space group P4/mmm (No. 123)
Symmetry-distinct sites (fractional):
1 Li 0.0000 0.0000 0.0000 [1 per cell]  8 Li 2.83, 4 Zn 2.95
2 Li 0.0000 0.0000 0.2437 [2 per cell]  8 Li 2.83-2.85, 4 Zn 2.95
3 Li 0.0000 0.0000 0.5000 [1 per cell]  4 Cd 2.95, 8 Li 2.95
4 Li 0.0000 0.5000 0.1217 [4 per cell]  8 Li 2.83-2.95, 4 Zn 2.83-2.84
5 Li 0.0000 0.5000 0.3670 [4 per cell]  2 Zn 2.85, 8 Li 2.85-2.95, 2 Cd 2.95
6 Zn 0.5000 0.5000 0.0000 [1 per cell]  12 Li 2.83-2.95
7 Zn 0.5000 0.5000 0.2439 [2 per cell]  12 Li 2.84-2.95
8 Cd 0.5000 0.5000 0.5000 [1 per cell]  12 Li 2.95